# 1
CsCaAl2I8: relaxed, PBE-GGA.

Structure (POSCAR):
```
CsCaAl2I8
1.0
3.7969 2.1921 11.0409
-3.7969 2.1921 11.0409
0.0000 -4.3843 11.0409
Cs Ca Al I
1 1 2 8
Direct
0.0000 0.0000 0.0000 Cs
0.5000 0.5000 0.5000 Ca
0.2467 0.2467 0.2467 Al
0.7533 0.7533 0.7533 Al
0.1109 0.4350 0.7844 I
0.2156 0.8891 0.5650 I
0.3253 0.3253 0.3253 I
0.4350 0.7844 0.1109 I
0.5650 0.2156 0.8891 I
0.6747 0.6747 0.6747 I
0.7844 0.1109 0.4350 I
0.8891 0.5650 0.2156 I
```

Properties
Uncorrected energy   -2.810 eV/atom

# 2
TaCdPd2: relaxed, PBE-GGA.

Structure (POSCAR):
```
TaCdPd2
1.0
2.8922 0.0000 0.0000
0.0000 2.8922 0.0000
0.0000 0.0000 8.0959
Ta Cd Pd
1 1 2
Direct
0.0000 0.0000 0.0000 Ta
0.0000 0.0000 0.5000 Cd
0.5000 0.5000 0.2402 Pd
0.5000 0.5000 0.7598 Pd
```

Properties
ΔH_f (0 K)   -0.365 eV/atom

Question: Which formula does entry 1 have?
Answer: CsCaAl2I8